[1]
# KCrSe2 | Alexandria via LeMat-Bulk | PBE | optimized geometry
# energy relative to the elements, uncorrected = -646 meV/atom
data_KCrSe2
_chemical_formula_sum 'K2 Cr2 Se4'
_space_group_name_H-M_alt 'P 1'
_space_group_IT_number 1
_cell_length_a 8.627
_cell_length_b 8.627
_cell_length_c 7.977
_cell_angle_alpha 101.03
_cell_angle_beta 101.03
_cell_angle_gamma 23.67
loop_
_space_group_symop_operation_xyz
'x,y,z'
loop_
_atom_site_label
_atom_site_type_symbol
_atom_site_fract_x
_atom_site_fract_y
_atom_site_fract_z
_atom_site_occupancy
K1 K 0.000 0.000 0.000 1
K2 K 0.742 0.742 0.193 1
Cr1 Cr 0.137 0.137 0.559 1
Cr2 Cr 0.770 0.770 0.754 1
Se1 Se 0.274 0.274 0.537 1
Se2 Se 0.335 0.335 0.955 1
Se3 Se 0.578 0.578 0.359 1
Se4 Se 0.626 0.626 0.774 1


[2]
# BeCuSi2 | Alexandria via LeMat-Bulk | PBE | optimized geometry
# energy relative to the elements, uncorrected = 295 meV/atom
data_BeCuSi2
_chemical_formula_sum 'Be1 Cu1 Si2'
_space_group_name_H-M_alt 'P 1'
_space_group_IT_number 1
_cell_length_a 2.591
_cell_length_b 2.591
_cell_length_c 7.231
_cell_angle_alpha 90.00
_cell_angle_beta 90.00
_cell_angle_gamma 90.00
loop_
_space_group_symop_operation_xyz
'x,y,z'
loop_
_atom_site_label
_atom_site_type_symbol
_atom_site_fract_x
_atom_site_fract_y
_atom_site_fract_z
_atom_site_occupancy
Be1 Be 0.000 0.000 0.000 1
Cu1 Cu 0.000 0.000 0.500 1
Si1 Si 0.500 0.500 0.234 1
Si2 Si 0.500 0.500 0.766 1


[3]
# K2TiCuTe4 | Alexandria via LeMat-Bulk | PBE | optimized geometry
# energy relative to the elements, uncorrected = -680 meV/atom
data_K2TiCuTe4
_chemical_formula_sum 'K4 Ti2 Cu2 Te8'
_space_group_name_H-M_alt 'P 1'
_space_group_IT_number 1
_cell_length_a 15.113
_cell_length_b 13.763
_cell_length_c 7.592
_cell_angle_alpha 84.88
_cell_angle_beta 65.09
_cell_angle_gamma 30.02
loop_
_space_group_symop_operation_xyz
'x,y,z'
loop_
_atom_site_label
_atom_site_type_symbol
_atom_site_fract_x
_atom_site_fract_y
_atom_site_fract_z
_atom_site_occupancy
K1 K 0.055 0.055 0.695 1
K2 K 0.305 0.305 0.945 1
K3 K 0.695 0.695 0.055 1
K4 K 0.945 0.945 0.305 1
Ti1 Ti 0.125 0.125 0.125 1
Ti2 Ti 0.875 0.875 0.875 1
Cu1 Cu 0.375 0.375 0.375 1
Cu2 Cu 0.625 0.625 0.625 1
Te1 Te 0.039 0.324 0.424 1
Te2 Te 0.287 0.576 0.676 1
Te3 Te 0.324 0.039 0.713 1
Te4 Te 0.424 0.713 0.039 1
Te5 Te 0.576 0.287 0.961 1
Te6 Te 0.676 0.961 0.287 1
Te7 Te 0.713 0.424 0.324 1
Te8 Te 0.961 0.676 0.576 1